The following is a DFT calculation (PBE-GGA) of an optimized crystal structure of CsBa2TaIn.

Cell lengths 6.799, 6.799, 5.566 Å; angles 90.00, 90.00, 90.00 degrees
Positions (direct):
Cs: 0.000 0.000 0.000
Ba: 0.000 0.500 0.500
Ba: 0.500 0.000 0.500
Ta: 0.500 0.500 0.000
In: 0.500 0.500 0.500

ρ: 4.54 g/cm³
SG: P4/mmm (123)
calculated volume: 51.5 A^3/atom
formation enthalpy at 0 K: 4.0 eV/f.u.
uncorrected energy: -3.063 eV per atom
total magnetization: 3.21 Bohr magnetons per cell

***

The following is a DFT calculation (PBE-GGA) of an optimized crystal structure of Rb2SrAl.

Cell lengths 12.505, 12.505, 6.538 Å; angles 90.00, 90.00, 90.00 degrees
Positions (direct):
Rb: 0.137 0.750 0.125
Rb: 0.250 0.137 0.875
Rb: 0.250 0.363 0.375
Rb: 0.363 0.750 0.625
Rb: 0.637 0.250 0.625
Rb: 0.750 0.637 0.375
Rb: 0.750 0.863 0.875
Rb: 0.863 0.250 0.125
Sr: 0.000 0.000 0.500
Sr: 0.000 0.500 0.750
Sr: 0.500 0.000 0.250
Sr: 0.500 0.500 0.000
Al: 0.000 0.000 0.000
Al: 0.000 0.500 0.250
Al: 0.500 0.000 0.750
Al: 0.500 0.500 0.500

ρ: 1.85 g/cm³
SG: I-42d (122)
calculated volume: 63.9 A^3/atom
distance to the lowest polymorph of the same formula: 0 meV per atom
formation enthalpy at 0 K: 1.5 eV/f.u.
uncorrected energy: -1.463 eV per atom
total magnetization: 0.01 Bohr magnetons per cell

***

The following is a DFT calculation (PBE-GGA) of an optimized crystal structure of PmNi4AsP2.

Cell lengths 3.947, 3.947, 7.363 Å; angles 90.00, 90.00, 90.00 degrees
Positions (direct):
Pm: 0.000 0.000 0.000
Ni: 0.000 0.500 0.314
Ni: 0.000 0.500 0.686
Ni: 0.500 0.000 0.314
Ni: 0.500 0.000 0.686
As: 0.000 0.000 0.500
P: 0.500 0.500 0.162
P: 0.500 0.500 0.838

ρ: 7.48 g/cm³
SG: P4/mmm (123)
calculated volume: 14.3 A^3/atom
formation enthalpy at 0 K: -5.7 eV/f.u.
uncorrected energy: -6.128 eV per atom
total magnetization: 0.00 Bohr magnetons per cell

***

The following is a DFT calculation (PBE-GGA) of an optimized crystal structure of Sr2TcSbC.

Cell lengths 5.457, 5.457, 4.048 Å; angles 90.00, 90.00, 90.00 degrees
Positions (direct):
Sr: 0.000 0.500 0.000
Sr: 0.500 0.000 0.000
Tc: 0.000 0.000 0.500
Sb: 0.500 0.500 0.500
C: 0.000 0.000 0.000

ρ: 5.61 g/cm³
SG: P4/mmm (123)
calculated volume: 24.1 A^3/atom
formation energy from raw total energies: -0.006 eV/atom
uncorrected energy: -5.421 eV per atom
total magnetization: 0.34 Bohr magnetons per cell

***

The following is a DFT calculation (PBE-GGA) of an optimized crystal structure of NaMgAgTe2.

Cell lengths 6.633, 6.679, 7.396 Å; angles 90.00, 91.02, 90.00 degrees
Positions (direct):
Na: 0.000 0.010 0.250
Na: 0.000 0.990 0.750
Mg: 0.500 0.500 0.250
Mg: 0.500 0.500 0.750
Ag: 0.500 0.000 0.000
Ag: 0.500 0.000 0.500
Te: 0.240 0.303 0.996
Te: 0.240 0.697 0.496
Te: 0.760 0.303 0.504
Te: 0.760 0.697 0.004

ρ: 4.16 g/cm³
SG: P2/c (13)
calculated volume: 32.8 A^3/atom
formation energy from raw total energies: -0.616 eV/atom
uncorrected energy: -3.025 eV per atom
total magnetization: 0.00 Bohr magnetons per cell

***

The following is a DFT calculation (PBE-GGA) of an optimized crystal structure of Hf2MoPb.

Cell lengths 3.507, 3.507, 6.758 Å; angles 90.00, 90.00, 90.00 degrees
Positions (direct):
Hf: 0.000 0.000 0.221
Hf: 0.000 0.000 0.779
Mo: 0.500 0.500 0.000
Pb: 0.500 0.500 0.500

ρ: 13.19 g/cm³
SG: P4/mmm (123)
calculated volume: 20.8 A^3/atom
formation enthalpy at 0 K: -0.3 eV/f.u.
uncorrected energy: -8.697 eV per atom
total magnetization: 0.00 Bohr magnetons per cell